<w>
Compound: KTl2Hg
Source: Alexandria
Functional: GGA-PBE
Structure: relaxed

space group = Cm, No. 8

Cell: 10.732 3.966 6.601 Å, 90.00 104.54 90.00°
Element x y z (fractional)
K1 0.000 0.000 0.000
K2 0.500 0.500 0.000
Tl1 0.229 0.000 0.679
Tl2 0.490 0.000 0.493
Tl3 0.729 0.500 0.679
Tl4 0.990 0.500 0.493
Hg1 0.258 0.500 0.264
Hg2 0.758 0.000 0.264

---

<x>
Compound: KTl2Hg
Source: Alexandria
Functional: GGA-PBE
Structure: relaxed

space group = P4mm, No. 99

Cell: 3.837 3.837 8.861 Å, 90.00 90.00 90.00°
Element x y z (fractional)
K1 0.000 0.000 0.000
Tl1 0.000 0.000 0.521
Tl2 0.500 0.500 0.296
Hg1 0.500 0.500 0.740

---

Which structure is the least stable? The one labeled <w>.

---

<w>
Compound: KTl2Hg
Source: Alexandria
Functional: GGA-PBE
Structure: relaxed

space group = I-42d, No. 122

Cell: 4.790 4.790 24.415 Å, 90.00 90.00 90.00°
Element x y z (fractional)
K1 0.000 0.000 0.000
K2 0.000 0.500 0.250
K3 0.500 0.000 0.750
K4 0.500 0.500 0.500
Tl1 0.233 0.250 0.625
Tl2 0.250 0.733 0.875
Tl3 0.250 0.767 0.375
Tl4 0.267 0.250 0.125
Tl5 0.733 0.750 0.125
Tl6 0.750 0.233 0.375
Tl7 0.750 0.267 0.875
Tl8 0.767 0.750 0.625
Hg1 0.000 0.000 0.500
Hg2 0.000 0.500 0.750
Hg3 0.500 0.000 0.250
Hg4 0.500 0.500 0.000

---

<x>
Compound: KTl2Hg
Source: Alexandria
Functional: GGA-PBE
Structure: relaxed

space group = R-3m, No. 166

Cell: 3.834 3.834 31.073 Å, 90.00 90.00 120.00°
Element x y z (fractional)
K1 0.000 0.000 0.000
K2 0.333 0.667 0.667
K3 0.667 0.333 0.333
Tl1 0.000 0.000 0.239
Tl2 0.000 0.000 0.761
Tl3 0.333 0.667 0.428
Tl4 0.333 0.667 0.905
Tl5 0.667 0.333 0.095
Tl6 0.667 0.333 0.572
Hg1 0.000 0.000 0.500
Hg2 0.333 0.667 0.167
Hg3 0.667 0.333 0.833

---

Which structure is the least stable? The one labeled <x>.

---

<w>
Compound: KTl3Hg
Source: Alexandria
Functional: GGA-PBE
Structure: relaxed

space group = C2/c, No. 15

Cell: 9.997 9.997 7.549 Å, 102.03 102.03 66.86°
Element x y z (fractional)
K1 0.036 0.964 0.750
K2 0.360 0.640 0.250
K3 0.640 0.360 0.750
K4 0.964 0.036 0.250
Tl1 0.006 0.349 0.605
Tl2 0.023 0.337 0.056
Tl3 0.289 0.328 0.406
Tl4 0.328 0.289 0.906
Tl5 0.337 0.023 0.556
Tl6 0.349 0.006 0.105
Tl7 0.651 0.994 0.895
Tl8 0.663 0.977 0.444
Tl9 0.672 0.711 0.094
Tl10 0.711 0.672 0.594
Tl11 0.977 0.663 0.944
Tl12 0.994 0.651 0.395
Hg1 0.245 0.578 0.747
Hg2 0.422 0.755 0.753
Hg3 0.578 0.245 0.247
Hg4 0.755 0.422 0.253

---

<x>
Compound: KTl3Hg
Source: Alexandria
Functional: GGA-PBE
Structure: relaxed

space group = Pnma, No. 62

Cell: 10.649 4.494 13.990 Å, 90.00 90.00 90.00°
Element x y z (fractional)
K1 0.172 0.250 0.001
K2 0.328 0.750 0.501
K3 0.672 0.250 0.499
K4 0.828 0.750 0.999
Tl1 0.085 0.250 0.398
Tl2 0.107 0.750 0.216
Tl3 0.138 0.750 0.786
Tl4 0.362 0.250 0.286
Tl5 0.393 0.250 0.716
Tl6 0.415 0.750 0.898
Tl7 0.585 0.250 0.102
Tl8 0.607 0.750 0.284
Tl9 0.638 0.750 0.714
Tl10 0.862 0.250 0.214
Tl11 0.893 0.250 0.784
Tl12 0.915 0.750 0.602
Hg1 0.127 0.250 0.617
Hg2 0.373 0.750 0.117
Hg3 0.627 0.250 0.883
Hg4 0.873 0.750 0.383

---

Which structure is the least stable? The one labeled <x>.

---

<w>
Compound: KTlHg2
Source: Alexandria
Functional: GGA-PBE
Structure: relaxed

space group = C2/m, No. 12

Cell: 10.145 3.479 7.428 Å, 90.00 97.09 90.00°
Element x y z (fractional)
K1 0.000 0.000 0.000
K2 0.500 0.500 0.000
Tl1 0.000 0.500 0.500
Tl2 0.500 0.000 0.500
Hg1 0.250 0.000 0.719
Hg2 0.250 0.500 0.281
Hg3 0.750 0.000 0.281
Hg4 0.750 0.500 0.719

---

<x>
Compound: KTlHg2
Source: Alexandria
Functional: GGA-PBE
Structure: relaxed

space group = Immm, No. 71

Cell: 3.367 6.551 13.145 Å, 90.00 90.00 90.00°
Element x y z (fractional)
K1 0.000 0.000 0.000
K2 0.500 0.500 0.500
Tl1 0.000 0.000 0.500
Tl2 0.500 0.500 0.000
Hg1 0.000 0.000 0.265
Hg2 0.000 0.000 0.735
Hg3 0.500 0.500 0.235
Hg4 0.500 0.500 0.765

---

Which structure is the least stable? The one labeled <x>.

---

<w>
Compound: KTlHg2
Source: Alexandria
Functional: GGA-PBE
Structure: relaxed

space group = Cmcm, No. 63

Cell: 5.309 12.375 8.864 Å, 90.00 90.00 90.00°
Element x y z (fractional)
K1 0.000 0.061 0.250
K2 0.000 0.939 0.750
K3 0.500 0.439 0.750
K4 0.500 0.561 0.250
Tl1 0.000 0.364 0.250
Tl2 0.000 0.636 0.750
Tl3 0.500 0.136 0.750
Tl4 0.500 0.864 0.250
Hg1 0.000 0.227 0.576
Hg2 0.000 0.227 0.924
Hg3 0.000 0.773 0.076
Hg4 0.000 0.773 0.424
Hg5 0.500 0.273 0.076
Hg6 0.500 0.273 0.424
Hg7 0.500 0.727 0.576
Hg8 0.500 0.727 0.924

---

<x>
Compound: KTlHg2
Source: Alexandria
Functional: GGA-PBE
Structure: relaxed

space group = P2/m, No. 10

Cell: 3.789 4.388 7.595 Å, 90.00 90.08 90.00°
Element x y z (fractional)
K1 0.000 0.000 0.000
Tl1 0.000 0.000 0.500
Hg1 0.496 0.500 0.723
Hg2 0.504 0.500 0.277

---

<y>
Compound: KTlHg2
Source: Alexandria
Functional: GGA-PBE
Structure: relaxed

space group = I-42d, No. 122

Cell: 5.253 5.253 21.819 Å, 90.00 90.00 90.00°
Element x y z (fractional)
K1 0.000 0.000 0.000
K2 0.000 0.500 0.250
K3 0.500 0.000 0.750
K4 0.500 0.500 0.500
Tl1 0.000 0.000 0.500
Tl2 0.000 0.500 0.750
Tl3 0.500 0.000 0.250
Tl4 0.500 0.500 0.000
Hg1 0.169 0.250 0.625
Hg2 0.250 0.669 0.875
Hg3 0.250 0.831 0.375
Hg4 0.331 0.250 0.125
Hg5 0.669 0.750 0.125
Hg6 0.750 0.169 0.375
Hg7 0.750 0.331 0.875
Hg8 0.831 0.750 0.625

---

Which structure is the least stable? The one labeled <y>.

---

<w>
Compound: KTlHg2
Source: Alexandria
Functional: GGA-PBE
Structure: relaxed

space group = I-4m2, No. 119

Cell: 5.046 5.046 9.660 Å, 90.00 90.00 90.00°
Element x y z (fractional)
K1 0.000 0.000 0.000
K2 0.500 0.500 0.500
Tl1 0.000 0.500 0.750
Tl2 0.500 0.000 0.250
Hg1 0.000 0.000 0.500
Hg2 0.000 0.500 0.250
Hg3 0.500 0.000 0.750
Hg4 0.500 0.500 0.000

---

<x>
Compound: KTlHg2
Source: Alexandria
Functional: GGA-PBE
Structure: relaxed

space group = Pm, No. 6

Cell: 3.599 5.164 6.895 Å, 90.00 103.80 90.00°
Element x y z (fractional)
K1 0.000 0.000 0.000
Tl1 0.663 0.500 0.321
Hg1 0.315 0.000 0.517
Hg2 0.390 0.500 0.778

---

Which structure is the least stable? The one labeled <w>.

---

<w>
Compound: KTl8Hg4
Source: Alexandria
Functional: GGA-PBE
Structure: relaxed

space group = F-43m, No. 216

Cell: 8.724 8.724 8.724 Å, 60.00 60.00 60.00°
Element x y z (fractional)
K1 0.000 0.000 0.000
Tl1 0.351 0.351 0.351
Tl2 0.351 0.351 0.947
Tl3 0.351 0.947 0.351
Tl4 0.457 0.848 0.848
Tl5 0.848 0.457 0.848
Tl6 0.848 0.848 0.457
Tl7 0.848 0.848 0.848
Tl8 0.947 0.351 0.351
Hg1 0.202 0.599 0.599
Hg2 0.599 0.202 0.599
Hg3 0.599 0.599 0.202
Hg4 0.599 0.599 0.599

---

<x>
Compound: KTl8Hg4
Source: Alexandria
Functional: GGA-PBE
Structure: relaxed

space group = I4/mmm, No. 139

Cell: 8.644 8.644 8.644 Å, 97.27 97.27 138.33°
Element x y z (fractional)
K1 0.000 0.000 0.000
Tl1 0.000 0.357 0.357
Tl2 0.000 0.643 0.643
Tl3 0.290 0.500 0.790
Tl4 0.357 0.000 0.357
Tl5 0.500 0.290 0.790
Tl6 0.500 0.710 0.210
Tl7 0.643 0.000 0.643
Tl8 0.710 0.500 0.210
Hg1 0.000 0.000 0.500
Hg2 0.000 0.500 0.000
Hg3 0.500 0.000 0.000
Hg4 0.500 0.500 0.500

---

Which structure is the least stable? The one labeled <w>.

---

<w>
Compound: K3TlHg2
Source: Alexandria
Functional: GGA-PBE
Structure: relaxed

space group = C2/m, No. 12

Cell: 19.189 4.746 5.500 Å, 90.00 106.50 90.00°
Element x y z (fractional)
K1 0.000 0.000 0.000
K2 0.181 0.500 0.181
K3 0.319 0.000 0.819
K4 0.500 0.500 0.000
K5 0.681 0.000 0.181
K6 0.819 0.500 0.819
Tl1 0.000 0.500 0.500
Tl2 0.500 0.000 0.500
Hg1 0.122 0.000 0.622
Hg2 0.378 0.500 0.378
Hg3 0.622 0.500 0.622
Hg4 0.878 0.000 0.378

---

<x>
Compound: K3TlHg2
Source: Alexandria
Functional: GGA-PBE
Structure: relaxed

space group = R-3c, No. 167

Cell: 8.421 8.421 8.421 Å, 73.51 73.51 73.51°
Element x y z (fractional)
K1 0.077 0.750 0.423
K2 0.250 0.577 0.923
K3 0.423 0.077 0.750
K4 0.577 0.923 0.250
K5 0.750 0.423 0.077
K6 0.923 0.250 0.577
Tl1 0.000 0.000 0.000
Tl2 0.500 0.500 0.500
Hg1 0.166 0.166 0.166
Hg2 0.334 0.334 0.334
Hg3 0.666 0.666 0.666
Hg4 0.834 0.834 0.834

---

Which structure is the least stable? The one labeled <x>.

---

<w>
Compound: KTl6Hg
Source: Alexandria
Functional: GGA-PBE
Structure: relaxed

space group = Amm2, No. 38

Cell: 5.071 6.902 14.873 Å, 90.00 90.00 90.00°
Element x y z (fractional)
K1 0.000 0.000 0.000
K2 0.000 0.500 0.500
Tl1 0.000 0.235 0.729
Tl2 0.000 0.265 0.229
Tl3 0.000 0.735 0.229
Tl4 0.000 0.765 0.729
Tl5 0.500 0.000 0.167
Tl6 0.500 0.000 0.594
Tl7 0.500 0.245 0.869
Tl8 0.500 0.255 0.369
Tl9 0.500 0.500 0.094
Tl10 0.500 0.500 0.667
Tl11 0.500 0.745 0.369
Tl12 0.500 0.755 0.869
Hg1 0.000 0.000 0.436
Hg2 0.000 0.500 0.936

---

<x>
Compound: KTl6Hg
Source: Alexandria
Functional: GGA-PBE
Structure: relaxed

space group = P4/mmm, No. 123

Cell: 5.449 5.449 9.409 Å, 90.00 90.00 90.00°
Element x y z (fractional)
K1 0.000 0.000 0.000
Tl1 0.000 0.500 0.325
Tl2 0.000 0.500 0.675
Tl3 0.500 0.000 0.325
Tl4 0.500 0.000 0.675
Tl5 0.500 0.500 0.159
Tl6 0.500 0.500 0.841
Hg1 0.000 0.000 0.500

---

Which structure is the least stable? The one labeled <x>.

---

<w>
Compound: K2Tl3Hg4
Source: Alexandria
Functional: GGA-PBE
Structure: relaxed

space group = P-1, No. 2

Cell: 5.515 5.540 10.458 Å, 88.87 89.95 60.16°
Element x y z (fractional)
K1 0.169 0.162 0.227
K2 0.831 0.838 0.773
Tl1 0.163 0.174 0.585
Tl2 0.500 0.500 0.000
Tl3 0.837 0.826 0.415
Hg1 0.166 0.168 0.903
Hg2 0.496 0.509 0.650
Hg3 0.504 0.491 0.350
Hg4 0.834 0.832 0.097

---

<x>
Compound: K2Tl3Hg4
Source: Alexandria
Functional: GGA-PBE
Structure: relaxed

space group = Cmce, No. 64

Cell: 9.624 9.624 9.652 Å, 90.00 90.00 138.87°
Element x y z (fractional)
K1 0.112 0.888 0.914
K2 0.388 0.612 0.414
K3 0.612 0.388 0.586
K4 0.888 0.112 0.086
Tl1 0.000 0.000 0.500
Tl2 0.031 0.469 0.750
Tl3 0.469 0.031 0.250
Tl4 0.500 0.500 0.000
Tl5 0.531 0.969 0.750
Tl6 0.969 0.531 0.250
Hg1 0.179 0.821 0.532
Hg2 0.201 0.299 0.750
Hg3 0.299 0.201 0.250
Hg4 0.321 0.679 0.032
Hg5 0.679 0.321 0.968
Hg6 0.701 0.799 0.750
Hg7 0.799 0.701 0.250
Hg8 0.821 0.179 0.468

---

Which structure is the least stable? The one labeled <w>.

---

<w>
Compound: K2Tl2Hg
Source: Alexandria
Functional: GGA-PBE
Structure: relaxed

space group = P4/mbm, No. 127

Cell: 8.074 8.074 5.829 Å, 90.00 90.00 90.00°
Element x y z (fractional)
K1 0.178 0.322 0.000
K2 0.322 0.822 0.000
K3 0.678 0.178 0.000
K4 0.822 0.678 0.000
Tl1 0.134 0.634 0.500
Tl2 0.366 0.134 0.500
Tl3 0.634 0.866 0.500
Tl4 0.866 0.366 0.500
Hg1 0.000 0.000 0.500
Hg2 0.500 0.500 0.500

---

<x>
Compound: K2Tl2Hg
Source: Alexandria
Functional: GGA-PBE
Structure: relaxed

space group = C2/m, No. 12

Cell: 6.852 6.852 11.164 Å, 109.44 109.44 48.68°
Element x y z (fractional)
K1 0.116 0.116 0.388
K2 0.171 0.171 0.040
K3 0.829 0.829 0.960
K4 0.884 0.884 0.612
Tl1 0.409 0.409 0.356
Tl2 0.479 0.479 0.854
Tl3 0.521 0.521 0.146
Tl4 0.591 0.591 0.644
Hg1 0.213 0.213 0.727
Hg2 0.787 0.787 0.273

---

Which structure is the least stable? The one labeled <w>.